Below is a geometry-optimized Sr2CuF8 structure, with properties calculated at the PBE level.

Structure (CIF):
```
data_Sr2CuF8
_space_group_name_H-M_alt 'C 1 2/m 1'
_space_group_IT_number 12
_cell_length_a 14.189
_cell_length_b 4.456
_cell_length_c 4.931
_cell_angle_alpha 90.00
_cell_angle_beta 110.33
_cell_angle_gamma 90.00
loop_
_space_group_symop_operation_xyz
'x,y,z'
'-x,-y,-z'
'-x,y,-z'
'x,-y,z'
'x+1/2,y+1/2,z'
'-x+1/2,-y+1/2,-z'
'-x+1/2,y+1/2,-z'
'x+1/2,-y+1/2,z'
loop_
_atom_site_label
_atom_site_fract_x
_atom_site_fract_y
_atom_site_fract_z
_atom_site_occupancy
Sr1 0.166 0.000 0.166 1
Cu1 0.000 0.500 0.500 1
F1 0.000 0.000 0.259 1
F2 0.101 0.500 0.355 1
F3 0.102 0.500 0.844 1
F4 0.230 0.000 0.729 1
```

- density (g/cm3) = 4.44
- volume (A^3/atom) = 13.29
- uncorrected formation energy (kcal/mol of atoms) = -59.66
- energy relative to the lowest polymorph listed for this composition (eV per atom) = 0.000
- M_tot (μB/cell) = 2.173


Below is a geometry-optimized ScReW structure, with properties calculated at the PBE level.

Structure (CIF):
```
data_ScReW
_space_group_name_H-M_alt 'I m m 2'
_space_group_IT_number 44
_cell_length_a 2.715
_cell_length_b 4.623
_cell_length_c 8.093
_cell_angle_alpha 90.00
_cell_angle_beta 90.00
_cell_angle_gamma 90.00
loop_
_space_group_symop_operation_xyz
'x,y,z'
'-x,-y,z'
'-x,y,z'
'x,-y,z'
'x+1/2,y+1/2,z+1/2'
'-x+1/2,-y+1/2,z+1/2'
'-x+1/2,y+1/2,z+1/2'
'x+1/2,-y+1/2,z+1/2'
loop_
_atom_site_label
_atom_site_fract_x
_atom_site_fract_y
_atom_site_fract_z
_atom_site_occupancy
Sc1 0.000 0.000 0.000 1
Re1 0.000 0.000 0.337 1
W1 0.000 0.000 0.664 1
```

- density (g/cm3) = 13.57
- volume (A^3/atom) = 16.93
- E_form (eV/atom) = 0.2851
- energy relative to the lowest polymorph listed for this composition (eV per atom) = 0.476
- M_tot (μB/cell) = 0.000